No. 1
## Zn2Os (GGA-PBE)

Data for an optimized crystal structure of Zn2Os.

The structure in extended XYZ format:
```
3
Lattice="0.000 2.947 2.947 2.947 0.000 2.947 2.947 2.947 0.000" Properties=species:S:1:pos:R:3 pbc="T T T"
Zn 1.473 1.473 1.473
Zn 4.420 4.420 4.420
Os 0.000 0.000 0.000
```

Computed properties:
Spin magnetization, μB/f.u.: 0.84
SG: Fm-3m, No. 225
E_form, eV per atom: 0.72
Final energy, eV per cell: -11.6


No. 2
## BaNdTeAuSe2 (GGA-PBE)

Data for an optimized crystal structure of BaNdTeAuSe2.

The structure in extended XYZ format:
```
12
Lattice="2.140 -7.596 0.000 2.140 7.596 0.000 0.000 0.000 11.227" Properties=species:S:1:pos:R:3 pbc="T T T"
Ba 2.140 4.186 8.420
Ba 2.140 -4.186 2.807
Nd 0.000 0.000 0.000
Nd 0.000 0.000 5.614
Te 2.140 6.157 2.807
Te 2.140 -6.157 8.420
Au 2.140 0.384 2.807
Au 2.140 -0.384 8.420
Se 2.140 1.994 0.691
Se 2.140 1.994 4.922
Se 2.140 -1.994 6.305
Se 2.140 -1.994 10.536
```

Computed properties:
Spin magnetization, μB/f.u.: 0.00
SG: Cmcm, No. 63
Final energy, eV per cell: -57.1


No. 3
## SmReSn (GGA-PBE)

Data for an optimized crystal structure of SmReSn.

The structure in extended XYZ format:
```
3
Lattice="0.000 3.350 3.350 3.350 0.000 3.350 3.350 3.350 0.000" Properties=species:S:1:pos:R:3 pbc="T T T"
Sm 0.000 0.000 0.000
Re 3.350 3.350 3.350
Sn 5.025 5.025 5.025
```

Computed properties:
Spin magnetization, μB/f.u.: 0.05
SG: F-43m, No. 216
Final energy, eV per cell: -19.4


No. 4
## NdScO3 (GGA-PBE)

Data for an optimized crystal structure of NdScO3.

The structure in extended XYZ format:
```
20
Lattice="5.890 0.000 0.000 0.000 8.450 0.000 0.000 0.000 5.768" Properties=species:S:1:pos:R:3 pbc="T T T"
Nd 0.000 0.000 0.000
Nd 0.000 4.225 0.000
Nd 2.945 0.000 2.884
Nd 2.945 4.225 2.884
Sc 0.080 2.112 2.784
Sc 2.865 6.337 5.668
Sc 3.025 2.112 0.099
Sc 5.810 6.337 2.983
O 0.848 6.337 4.812
O 0.902 4.932 2.015
O 0.902 7.743 2.015
O 2.043 0.707 4.899
O 2.043 3.518 4.899
O 2.097 2.112 1.928
O 3.793 6.337 3.839
O 3.847 4.932 0.869
O 3.847 7.743 0.869
O 4.988 0.707 3.752
O 4.988 3.518 3.752
O 5.043 2.112 0.955
```

Computed properties:
Spin magnetization, μB/f.u.: 0.00
SG: Pnma, No. 62
Final energy, eV per cell: -168.8


Which formula does entry 1 have?
Zn2Os


Among the records above, which one has the highest final energy?
Zn2Os


Number 3 is which compound?
SmReSn